No. 1
DFT (GGA-PBE) results for an optimized crystal structure of Ac2AlSi.

CIF file:
```
data_Ac2AlSi
_chemical_formula_sum 'Ac2 Al1 Si1'
_space_group_name_H-M_alt 'P 4/m m m'
_space_group_IT_number 123
_space_group_name_Hall '-P 4 2'
_cell_length_a 4.0235
_cell_length_b 4.0235
_cell_length_c 7.3426
_cell_angle_alpha 90.00
_cell_angle_beta 90.00
_cell_angle_gamma 90.00
loop_
_atom_site_label
_atom_site_type_symbol
_atom_site_fract_x
_atom_site_fract_y
_atom_site_fract_z
Ac1 Ac 0.0000 0.0000 0.2333
Al1 Al 0.5000 0.5000 0.5000
Si1 Si 0.5000 0.5000 0.0000
```

formation energy without anion corrections	-0.263	eV per atom
total DFT energy (no corrections)	-4.609	eV per atom

=====

No. 2
DFT (GGA-PBE) results for an optimized crystal structure of SrTl4Au.

CIF file:
```
data_SrTl4Au
_chemical_formula_sum 'Sr4 Tl16 Au4'
_space_group_name_H-M_alt 'F -4 3 m'
_space_group_IT_number 216
_space_group_name_Hall 'F -4 2 3'
_cell_length_a 9.0581
_cell_length_b 9.0581
_cell_length_c 9.0581
_cell_angle_alpha 90.00
_cell_angle_beta 90.00
_cell_angle_gamma 90.00
loop_
_atom_site_label
_atom_site_type_symbol
_atom_site_fract_x
_atom_site_fract_y
_atom_site_fract_z
Sr1 Sr 0.0000 0.0000 0.0000
Tl1 Tl 0.1243 0.1243 0.6243
Au1 Au 0.2500 0.2500 0.2500
```

total DFT energy (no corrections)	-2.418	eV per atom

=====

No. 3
DFT (GGA-PBE) results for an optimized crystal structure of Mg3TlIn.

CIF file:
```
data_Mg3TlIn
_chemical_formula_sum 'Mg18 Tl6 In6'
_space_group_name_H-M_alt 'R -3 c'
_space_group_IT_number 167
_space_group_name_Hall '-R 3 2"c'
_cell_length_a 8.3724
_cell_length_b 8.3724
_cell_length_c 12.6481
_cell_angle_alpha 90.00
_cell_angle_beta 90.00
_cell_angle_gamma 120.00
loop_
_atom_site_label
_atom_site_type_symbol
_atom_site_fract_x
_atom_site_fract_y
_atom_site_fract_z
Mg1 Mg 0.0000 0.3514 0.2500
Tl1 Tl 0.0000 0.0000 0.0000
In1 In 0.0000 0.0000 0.2500
```

distance to the lowest polymorph of the same formula	2.2	kJ/mol of atoms
total DFT energy (no corrections)	-1.936	eV per atom

=====

No. 4
DFT (GGA-PBE) results for an optimized crystal structure of TiMnTc3.

CIF file:
```
data_TiMnTc3
_chemical_formula_sum 'Ti1 Mn1 Tc3'
_space_group_name_H-M_alt 'P m -3 m'
_space_group_IT_number 221
_space_group_name_Hall '-P 4 2 3'
_cell_length_a 4.4333
_cell_length_b 4.4333
_cell_length_c 4.4333
_cell_angle_alpha 90.00
_cell_angle_beta 90.00
_cell_angle_gamma 90.00
loop_
_atom_site_label
_atom_site_type_symbol
_atom_site_fract_x
_atom_site_fract_y
_atom_site_fract_z
Ti1 Ti 0.0000 0.0000 0.0000
Mn1 Mn 0.5000 0.5000 0.5000
Tc1 Tc 0.0000 0.0000 0.5000
```

distance to the lowest polymorph of the same formula	79.1	kJ/mol of atoms
total DFT energy (no corrections)	-7.951	eV per atom

=====

No. 5
DFT (GGA-PBE) results for an optimized crystal structure of NbFeSe2.

CIF file:
```
data_NbFeSe2
_chemical_formula_sum 'Nb3 Fe3 Se6'
_space_group_name_H-M_alt 'R -3 m'
_space_group_IT_number 166
_space_group_name_Hall '-R 3 2"'
_cell_length_a 3.3307
_cell_length_b 3.3307
_cell_length_c 24.7941
_cell_angle_alpha 90.00
_cell_angle_beta 90.00
_cell_angle_gamma 120.00
loop_
_atom_site_label
_atom_site_type_symbol
_atom_site_fract_x
_atom_site_fract_y
_atom_site_fract_z
Nb1 Nb 0.0000 0.0000 0.0000
Fe1 Fe 0.0000 0.0000 0.5000
Se1 Se 0.0000 0.0000 0.4050
```

formation energy without anion corrections	-0.169	eV per atom
total DFT energy (no corrections)	-6.544	eV per atom

=====

No. 6
DFT (GGA-PBE) results for an optimized crystal structure of Ac4PmSm5.

CIF file:
```
data_Ac4PmSm5
_chemical_formula_sum 'Ac8 Pm2 Sm10'
_space_group_name_H-M_alt 'C 1 2/m 1'
_space_group_IT_number 12
_space_group_name_Hall '-C 2y'
_cell_length_a 17.0945
_cell_length_b 6.1211
_cell_length_c 7.4018
_cell_angle_alpha 90.00
_cell_angle_beta 100.67
_cell_angle_gamma 90.00
loop_
_atom_site_label
_atom_site_type_symbol
_atom_site_fract_x
_atom_site_fract_y
_atom_site_fract_z
Ac1 Ac 0.1028 0.0000 0.4092
Ac2 Ac 0.1922 0.5000 0.7467
Pm1 Pm 0.0000 0.5000 0.0000
Sm1 Sm 0.0000 0.5000 0.5000
Sm2 Sm 0.1063 0.0000 0.9206
Sm3 Sm 0.1939 0.5000 0.2396
```

total DFT energy (no corrections)	-4.381	eV per atom